Entry from Alexandria: Tc2SbAs2 after structural relaxation (PBE).

Properties
Total moment   0.000 μB per atom
E_form (uncorrected)   0.42 eV/f.u.
Distance to the lowest polymorph of the same formula   0.0 kJ/mol of formula units
SG   No. 127
Volume   17.1 A^3/atom

abc: 7.4355 7.4355 3.0894
angles: 90.00 90.00 90.00
Closest atoms and distances in Å follow each position.
Fractional coordinates of all 10 atoms:
Tc  0.1461  0.3539  0.0000  6 As 2.62-2.74, 2 Sb 2.85
Tc  0.3539  0.8539  0.0000  6 As 2.62-2.74, 2 Sb 2.85
Tc  0.6461  0.1461  0.0000  6 As 2.62-2.74, 2 Sb 2.85
Tc  0.8539  0.6461  0.0000  6 As 2.62-2.74, 2 Sb 2.85
Sb  0.0000  0.0000  0.0000  4 Tc 2.85, 2 Sb 3.09
Sb  0.5000  0.5000  0.0000  4 Tc 2.85, 2 Sb 3.09
As  0.1391  0.6391  0.5000  6 Tc 2.62-2.74, 1 As 2.93
As  0.3609  0.1391  0.5000  6 Tc 2.62-2.74, 1 As 2.93
As  0.6391  0.8609  0.5000  6 Tc 2.62-2.74, 1 As 2.93
As  0.8609  0.3609  0.5000  6 Tc 2.62-2.74, 1 As 2.93